Record 1
The following is a DFT calculation (PBE) of RhAuC after structural relaxation.

The polymorph energy (0 for the lowest one) comes out at 0.2321 eV/atom. The formation energy comes out at 2.2 eV per formula unit.

The structure belongs to space group Amm2 (No. 38); the cell edges are 3.129, 2.876 and 10.242 Å and the angles 90.00°, 90.00° and 90.00°. The distinct sites, in fractional coordinates, are Rh at (0.000, 0.000, 0.000), Au at (0.500, 0.000, 0.698) and C at (0.500, 0.000, 0.899).



Record 2
The following is a DFT calculation (PBE) of SnAs after structural relaxation.

The formation energy comes out at 0.1 eV per formula unit.

The structure belongs to space group Pmn2_1 (No. 31); the cell edges are 9.303, 5.064 and 7.167 Å and the angles 90.00°, 90.00° and 90.00°. The distinct sites, in fractional coordinates, are Sn at (0.000, 0.227, 0.000), Sn at (0.163, 0.701, 0.279), As at (0.000, 0.614, 0.722) and As at (0.211, 0.804, 0.897).



Record 3
The following is a DFT calculation (PBE) of K3LiZr3O8 after structural relaxation.

The structure belongs to space group R-3m (No. 166, hexagonal axes); the cell edges are 6.5243, 6.5243 and 18.7009 Å and the angles 90.00°, 90.00° and 120.00°. The distinct sites, in fractional coordinates, are K at (0.0000, 0.5000, 0.0000), Li at (0.0000, 0.0000, 0.5000), Zr at (0.0000, 0.5000, 0.5000), O at (0.0000, 0.0000, 0.2288) and O at (0.0198, 0.5099, 0.7763).



Record 4
The following is a DFT calculation (PBE) of SrLa2MgRh after structural relaxation.

The polymorph energy (0 for the lowest one) comes out at 0.0000 eV/atom. The formation energy comes out at -1.5 eV per formula unit.

The structure belongs to space group P4/mmm (No. 123); the cell edges are 5.581, 5.581 and 5.484 Å and the angles 90.00°, 90.00° and 90.00°. The distinct sites, in fractional coordinates, are Sr at (0.000, 0.000, 0.000), La at (0.000, 0.500, 0.500), Mg at (0.500, 0.500, 0.000) and Rh at (0.500, 0.500, 0.500).



Record 5
The following is a DFT calculation (PBE) of Be2TcCl after structural relaxation.

The polymorph energy (0 for the lowest one) comes out at 0.9152 eV/atom.

The structure belongs to space group Fm-3m (No. 225); the cell edges are 5.838, 5.838 and 5.838 Å and the angles 90.00°, 90.00° and 90.00°. The distinct sites, in fractional coordinates, are Be at (0.250, 0.250, 0.250), Tc at (0.000, 0.000, 0.000) and Cl at (0.000, 0.000, 0.500).



Record 6
The following is a DFT calculation (PBE) of LiY2Ge3 after structural relaxation.

The formation energy comes out at -4.0 eV per formula unit.

The structure belongs to space group Fmmm (No. 69); the cell edges are 7.998, 8.427 and 14.492 Å and the angles 90.00°, 90.00° and 90.00°. The distinct sites, in fractional coordinates, are Li at (0.000, 0.000, 0.167), Y at (0.238, 0.000, 0.500), Y at (0.250, 0.250, 0.250), Ge at (0.000, 0.000, 0.330) and Ge at (0.000, 0.238, 0.085).



Record 7
The following is a DFT calculation (PBE) of LaMn2Al after structural relaxation.

The formation energy comes out at 1.6 eV per formula unit.

The structure belongs to space group R3m (No. 160, hexagonal axes); the cell edges are 3.0667, 3.0667 and 28.1696 Å and the angles 90.00°, 90.00° and 120.00°. The distinct sites, in fractional coordinates, are La at (0.0000, 0.0000, 0.0000), Mn at (0.0000, 0.0000, 0.4940), Mn at (0.0000, 0.0000, 0.7655) and Al at (0.0000, 0.0000, 0.2324).



Record 8
The following is a DFT calculation (PBE) of In2AuSe2 after structural relaxation.

The polymorph energy (0 for the lowest one) comes out at 0.0000 eV/atom.

The structure belongs to space group P4/mbm (No. 127); the cell edges are 7.877, 7.877 and 4.127 Å and the angles 90.00°, 90.00° and 90.00°. The distinct sites, in fractional coordinates, are In at (0.132, 0.368, 0.000), Au at (0.000, 0.000, 0.500) and Se at (0.202, 0.702, 0.500).



| no. | total moment (μB per formula unit) | VASP energy (eV/atom) |
| --- | --- | --- |
| 1 | 0.00 | -5.888 |
| 2 | 0.00 | -4.263 |
| 3 | 0.00 | -7.320 |
| 4 | 0.00 | -4.402 |
| 5 | 0.00 | -3.875 |
| 6 | 0.00 | -5.450 |
| 7 | 0.11 | -6.359 |
| 8 | 0.00 | -3.204 |